Entry 1:
A plane-wave DFT calculation with GGA-PBE was carried out for a relaxed BeTc crystal.

Output
Crystal system ... cubic
E above lowest polymorph ... 2.98 eV per formula unit

a b c (Å): 3.478 3.478 3.478
angles (deg): 60.00 60.00 60.00
Each line ends with the local moment (μB).
Fractional coordinates of all 2 atoms:
1 Be 0.000 0.000 0.000  0.00
2 Tc 0.250 0.250 0.250  0.17

***

Entry 2:
A plane-wave DFT calculation with GGA-PBE was carried out for a relaxed Be2TcTe crystal.

Output
E_tot ... -4.569 eV/atom
Crystal system ... cubic

a b c (Å): 4.327 4.327 4.327
angles (deg): 60.00 60.00 60.00
Fractional coordinates of all 4 atoms:
1 Be 0.250 0.250 0.250
2 Be 0.500 0.500 0.500
3 Tc 0.000 0.000 0.000
4 Te 0.750 0.750 0.750

***

Entry 3:
A plane-wave DFT calculation with GGA-PBE was carried out for a relaxed BeTlTcTe crystal.

Output
Crystal system ... cubic
E above lowest polymorph ... 0.00 eV per formula unit

a b c (Å): 4.714 4.714 4.714
angles (deg): 60.00 60.00 60.00
Fractional coordinates of all 4 atoms:
1 Be 0.750 0.750 0.750
2 Tc 0.250 0.250 0.250
3 Te 0.000 0.000 0.000
4 Tl 0.500 0.500 0.500

***

Entry 4:
A plane-wave DFT calculation with GGA-PBE was carried out for a relaxed YBeTcTe crystal.

Output
Crystal system ... cubic
E above lowest polymorph ... 0.00 eV per formula unit

a b c (Å): 4.695 4.695 4.695
angles (deg): 60.00 60.00 60.00
Fractional coordinates of all 4 atoms:
1 Be 0.750 0.750 0.750
2 Tc 0.500 0.500 0.500
3 Te 0.250 0.250 0.250
4 Y 0.000 0.000 0.000

***

Entry 5:
A plane-wave DFT calculation with GGA-PBE was carried out for a relaxed YBeTcTe crystal.

Output
Crystal system ... cubic
E above lowest polymorph ... 0.65 eV per formula unit

a b c (Å): 4.677 4.677 4.677
angles (deg): 60.00 60.00 60.00
Fractional coordinates of all 4 atoms:
1 Be 0.750 0.750 0.750
2 Tc 0.250 0.250 0.250
3 Te 0.500 0.500 0.500
4 Y 0.000 0.000 0.000

***

Entry 6:
A plane-wave DFT calculation with GGA-PBE was carried out for a relaxed YBeTcTe crystal.

Output
Crystal system ... cubic
E above lowest polymorph ... 1.50 eV per formula unit

a b c (Å): 4.766 4.766 4.766
angles (deg): 60.00 60.00 60.00
Fractional coordinates of all 4 atoms:
1 Be 0.750 0.750 0.750
2 Tc 0.000 0.000 0.000
3 Te 0.500 0.500 0.500
4 Y 0.250 0.250 0.250

***

Entry 7:
A plane-wave DFT calculation with GGA-PBE was carried out for a relaxed ThBeTc crystal.

Output
E_tot ... -6.923 eV/atom
Crystal system ... cubic

a b c (Å): 4.343 4.343 4.343
angles (deg): 60.00 60.00 60.00
Fractional coordinates of all 3 atoms:
1 Be 0.000 0.000 0.000
2 Tc 0.250 0.250 0.250
3 Th 0.750 0.750 0.750

***

Entry 8:
A plane-wave DFT calculation with GGA-PBE was carried out for a relaxed BeTlTc2 crystal.

Output
E_tot ... -6.127 eV/atom
Crystal system ... cubic

a b c (Å): 4.413 4.413 4.413
angles (deg): 60.00 60.00 60.00
Fractional coordinates of all 4 atoms:
1 Be 0.250 0.250 0.250
2 Tc 0.000 0.000 0.000
3 Tc 0.750 0.750 0.750
4 Tl 0.500 0.500 0.500